The following is a DFT calculation (PBE-GGA) of a relaxed La6Dy2Er crystal.

abc: 10.1267 10.1267 3.6972
angles: 90.00 90.00 124.06
Last column: nearest neighbours and their distance in Å.
Fractional coordinates of all 9 atoms:
La 0.8375 0.5056 0.0000  4 La 3.26-3.50, 2 Dy 3.63
La 0.5056 0.8375 0.0000  4 La 3.26-3.50, 2 Dy 3.63
La 0.1625 0.4944 0.0000  4 La 3.26-3.50, 2 Dy 3.63
La 0.6793 0.6793 0.5000  7 La 3.41-3.70, 2 Er 3.56
La 0.4944 0.1625 0.0000  4 La 3.26-3.50, 2 Dy 3.63
La 0.3207 0.3207 0.5000  7 La 3.41-3.70, 2 Er 3.56
Dy 0.8287 0.1713 0.5000  2 Er 3.58, 8 La 3.63-3.81, 2 Dy 3.70
Dy 0.1713 0.8287 0.5000  2 Er 3.58, 8 La 3.63-3.81, 2 Dy 3.70
Er 0.0000 0.0000 0.0000  4 La 3.56, 4 Dy 3.58, 2 Er 3.70

## Properties
- Crystal system: orthorhombic
- ΔH_f (0 K): 118 meV/atom